No. 1
Material: Sr8Sb5I
Method: DFT, GGA-PBE
State: relaxed

```
data_Sr8Sb5I
_chemical_formula_sum 'Sr16 Sb10 I2'
_space_group_name_H-M_alt 'I -4'
_space_group_IT_number 82
_space_group_name_Hall 'I -4'
_cell_length_a 10.0841
_cell_length_b 10.0841
_cell_length_c 10.0720
_cell_angle_alpha 90.00
_cell_angle_beta 90.00
_cell_angle_gamma 90.00
loop_
_atom_site_label
_atom_site_type_symbol
_atom_site_fract_x
_atom_site_fract_y
_atom_site_fract_z
_atom_site_occupancy
Sr1 Sr 0.0734 0.1866 0.3188 1
Sr2 Sr 0.0741 0.3331 0.9470 1
Sb1 Sb 0.0000 0.5000 0.2500 1
Sb2 Sb 0.1323 0.2512 0.6323 1
I1 I 0.0000 0.0000 0.0000 1
```

**E_tot**: -3.69 eV/atom
**Formation energy from raw total energies**: -1142 meV/atom

***

No. 2
Material: ZrBe2P
Method: DFT, GGA-PBE
State: relaxed

```
data_ZrBe2P
_chemical_formula_sum 'Zr2 Be4 P2'
_space_group_name_H-M_alt 'C 1 2/m 1'
_space_group_IT_number 12
_space_group_name_Hall '-C 2y'
_cell_length_a 5.2357
_cell_length_b 9.1137
_cell_length_c 2.7950
_cell_angle_alpha 90.00
_cell_angle_beta 121.82
_cell_angle_gamma 90.00
loop_
_atom_site_label
_atom_site_type_symbol
_atom_site_fract_x
_atom_site_fract_y
_atom_site_fract_z
_atom_site_occupancy
Zr1 Zr 0.0000 0.0000 0.0000 1
Be1 Be 0.2500 0.2500 0.5000 1
P1 P 0.0000 0.5000 0.0000 1
```

**E_tot**: -5.27 eV/atom
**D(E_F)**: 1.724 states/eV per cell
**Formation enthalpy at 0 K**: 0.31 eV/f.u.

***

No. 3
Material: Tc2HRuRh
Method: DFT, GGA-PBE
State: relaxed

```
data_Tc2HRuRh
_chemical_formula_sum 'Tc2 H1 Ru1 Rh1'
_space_group_name_H-M_alt 'P 4/m m m'
_space_group_IT_number 123
_space_group_name_Hall '-P 4 2'
_cell_length_a 3.8993
_cell_length_b 3.8993
_cell_length_c 3.8914
_cell_angle_alpha 90.00
_cell_angle_beta 90.00
_cell_angle_gamma 90.00
loop_
_atom_site_label
_atom_site_type_symbol
_atom_site_fract_x
_atom_site_fract_y
_atom_site_fract_z
_atom_site_occupancy
Tc1 Tc 0.0000 0.5000 0.0000 1
H1 H 0.0000 0.0000 0.0000 1
Ru1 Ru 0.0000 0.0000 0.5000 1
Rh1 Rh 0.5000 0.5000 0.5000 1
```

**E_tot**: -8.13 eV/atom
**D(E_F)**: 3.852 states/eV per cell
**Polymorph energy (0 for the lowest one)**: 0 meV per atom

***

No. 4
Material: SrCo2H2
Method: DFT, GGA-PBE
State: relaxed

```
data_SrCo2H2
_chemical_formula_sum 'Sr2 Co4 H4'
_space_group_name_H-M_alt 'I 4/m m m'
_space_group_IT_number 139
_space_group_name_Hall '-I 4 2'
_cell_length_a 3.4694
_cell_length_b 3.4694
_cell_length_c 10.4232
_cell_angle_alpha 90.00
_cell_angle_beta 90.00
_cell_angle_gamma 90.00
loop_
_atom_site_label
_atom_site_type_symbol
_atom_site_fract_x
_atom_site_fract_y
_atom_site_fract_z
_atom_site_occupancy
Sr1 Sr 0.0000 0.0000 0.0000 1
Co1 Co 0.0000 0.0000 0.2749 1
H1 H 0.0000 0.5000 0.2500 1
```

**E_tot**: -4.43 eV/atom
**D(E_F)**: 11.745 states/eV per cell

***

No. 5
Material: YNi2Se
Method: DFT, GGA-PBE
State: relaxed

```
data_YNi2Se
_chemical_formula_sum 'Y4 Ni8 Se4'
_space_group_name_H-M_alt 'I -4 2 d'
_space_group_IT_number 122
_space_group_name_Hall 'I -4 2bw'
_cell_length_a 4.4524
_cell_length_b 4.4524
_cell_length_c 15.4342
_cell_angle_alpha 90.00
_cell_angle_beta 90.00
_cell_angle_gamma 90.00
loop_
_atom_site_label
_atom_site_type_symbol
_atom_site_fract_x
_atom_site_fract_y
_atom_site_fract_z
_atom_site_occupancy
Y1 Y 0.0000 0.0000 0.0000 1
Ni1 Ni 0.0916 0.2500 0.6250 1
Se1 Se 0.0000 0.0000 0.5000 1
```

**E_tot**: -5.78 eV/atom
**Formation energy from raw total energies**: -404 meV/atom
**D(E_F)**: 10.971 states/eV per cell

***

No. 6
Material: Nd2Sm6HoMg
Method: DFT, GGA-PBE
State: relaxed

```
data_Nd2Sm6HoMg
_chemical_formula_sum 'Nd8 Sm24 Ho4 Mg4'
_space_group_name_H-M_alt 'C 1 2/c 1'
_space_group_IT_number 15
_space_group_name_Hall '-C 2yc'
_cell_length_a 9.2396
_cell_length_b 15.2976
_cell_length_c 9.3984
_cell_angle_alpha 90.00
_cell_angle_beta 95.76
_cell_angle_gamma 90.00
loop_
_atom_site_label
_atom_site_type_symbol
_atom_site_fract_x
_atom_site_fract_y
_atom_site_fract_z
_atom_site_occupancy
Nd1 Nd 0.2383 0.0521 0.4528 1
Sm1 Sm 0.0467 0.3193 0.9465 1
Sm2 Sm 0.1078 0.1100 0.1088 1
Sm3 Sm 0.2134 0.2855 0.3004 1
Ho1 Ho 0.0000 0.4787 0.2500 1
Mg1 Mg 0.0000 0.0857 0.7500 1
```

**E_tot**: -4.29 eV/atom
**D(E_F)**: 48.406 states/eV per cell
**Formation enthalpy at 0 K**: 1.12 eV/f.u.

***

No. 7
Material: Ca5SnAu2
Method: DFT, GGA-PBE
State: relaxed

```
data_Ca5SnAu2
_chemical_formula_sum 'Ca20 Sn4 Au8'
_space_group_name_H-M_alt 'I 4/m c m'
_space_group_IT_number 140
_space_group_name_Hall '-I 4 2c'
_cell_length_a 8.0146
_cell_length_b 8.0146
_cell_length_c 14.6734
_cell_angle_alpha 90.00
_cell_angle_beta 90.00
_cell_angle_gamma 90.00
loop_
_atom_site_label
_atom_site_type_symbol
_atom_site_fract_x
_atom_site_fract_y
_atom_site_fract_z
_atom_site_occupancy
Ca1 Ca 0.0000 0.0000 0.0000 1
Ca2 Ca 0.1701 0.3299 0.1411 1
Sn1 Sn 0.0000 0.0000 0.2500 1
Au1 Au 0.1279 0.3721 0.5000 1
```

**E_tot**: -3.25 eV/atom
**D(E_F)**: 22.902 states/eV per cell
**Formation enthalpy at 0 K**: -5.47 eV/f.u.

***

No. 8
Material: NaCdBi
Method: DFT, GGA-PBE
State: relaxed

```
data_NaCdBi
_chemical_formula_sum 'Na16 Cd16 Bi16'
_space_group_name_H-M_alt 'F d d d'
_space_group_IT_number 70
_cell_length_a 10.3105
_cell_length_b 10.4110
_cell_length_c 14.4089
_cell_angle_alpha 90.00
_cell_angle_beta 90.00
_cell_angle_gamma 90.00
loop_
_space_group_symop_operation_xyz
'x,y,z'
'-x,-y,-z'
'-x+1/4,-y+1/4,z'
'x+1/4,y+1/4,-z'
'x,-y+1/4,-z+1/4'
'-x,y+1/4,z+1/4'
'-x+1/4,y,-z+1/4'
'x+1/4,-y,z+1/4'
'x,y+1/2,z+1/2'
'-x,-y+1/2,-z+1/2'
'-x+1/4,-y+3/4,z+1/2'
'x+1/4,y+3/4,-z+1/2'
'x,-y+3/4,-z+3/4'
'-x,y+3/4,z+3/4'
'-x+1/4,y+1/2,-z+3/4'
'x+1/4,-y+1/2,z+3/4'
'x+1/2,y,z+1/2'
'-x+1/2,-y,-z+1/2'
'-x+3/4,-y+1/4,z+1/2'
'x+3/4,y+1/4,-z+1/2'
'x+1/2,-y+1/4,-z+3/4'
'-x+1/2,y+1/4,z+3/4'
'-x+3/4,y,-z+3/4'
'x+3/4,-y,z+3/4'
'x+1/2,y+1/2,z'
'-x+1/2,-y+1/2,-z'
'-x+3/4,-y+3/4,z'
'x+3/4,y+3/4,-z'
'x+1/2,-y+3/4,-z+1/4'
'-x+1/2,y+3/4,z+1/4'
'-x+3/4,y+1/2,-z+1/4'
'x+3/4,-y+1/2,z+1/4'
loop_
_atom_site_label
_atom_site_type_symbol
_atom_site_fract_x
_atom_site_fract_y
_atom_site_fract_z
_atom_site_occupancy
Na1 Na 0.1250 0.1250 0.0020 1
Cd1 Cd 0.1250 0.1250 0.4962 1
Bi1 Bi 0.1062 0.3750 0.8750 1
```

**E_tot**: -2.22 eV/atom
**D(E_F)**: 0.051 states/eV per cell
**Formation enthalpy at 0 K**: -0.54 eV/f.u.

***

Question: What is the formula in the sixth record?
Answer: Nd2Sm6HoMg

***

Copy entry 5 word for word.
Material: YNi2Se
Method: DFT, GGA-PBE
State: relaxed

```
data_YNi2Se
_chemical_formula_sum 'Y4 Ni8 Se4'
_space_group_name_H-M_alt 'I -4 2 d'
_space_group_IT_number 122
_space_group_name_Hall 'I -4 2bw'
_cell_length_a 4.4524
_cell_length_b 4.4524
_cell_length_c 15.4342
_cell_angle_alpha 90.00
_cell_angle_beta 90.00
_cell_angle_gamma 90.00
loop_
_atom_site_label
_atom_site_type_symbol
_atom_site_fract_x
_atom_site_fract_y
_atom_site_fract_z
_atom_site_occupancy
Y1 Y 0.0000 0.0000 0.0000 1
Ni1 Ni 0.0916 0.2500 0.6250 1
Se1 Se 0.0000 0.0000 0.5000 1
```

**E_tot**: -5.78 eV/atom
**Formation energy from raw total energies**: -404 meV/atom
**D(E_F)**: 10.971 states/eV per cell

***

Question: E_tot of number 3 (Tc2HRuRh)?
Answer: -8.13 eV/atom